# 1
Computed, not measured: an optimized crystal structure of Pr6GaAu5 at the GGA-PBE level of DFT.

POSCAR file:
```
Pr6GaAu5
1.0
5.275 0.000 0.000
0.000 7.522 0.000
-2.630 0.000 7.950
Pr Ga Au
6 1 5
Direct
0.000 0.245 0.000
0.000 0.755 0.000
0.333 0.252 0.665
0.333 0.748 0.665
0.667 0.252 0.335
0.667 0.748 0.335
0.500 0.500 0.000
0.156 0.500 0.315
0.167 0.000 0.338
0.500 0.000 0.000
0.833 0.000 0.662
0.844 0.500 0.685
```

Values from the calculation:
Calculated density   10.00 g cm⁻³
E   -0.173 hartree per atom
Calculated formation energy   -68 kJ per mole of atoms
Total magnetization   0.00 μB per cell

---

# 2
Computed, not measured: an optimized crystal structure of PrGa2Au3 at the GGA-PBE level of DFT.

POSCAR file:
```
PrGa2Au3
1.0
8.341 -2.234 0.000
8.341 2.234 0.000
-3.152 0.000 6.709
Pr Ga Au
2 4 6
Direct
0.145 0.145 0.212
0.855 0.855 0.788
0.200 0.200 0.699
0.491 0.491 0.161
0.509 0.509 0.839
0.800 0.800 0.301
0.042 0.042 0.710
0.318 0.318 0.065
0.373 0.373 0.494
0.627 0.627 0.506
0.682 0.682 0.935
0.958 0.958 0.290
```

Values from the calculation:
Calculated density   11.57 g cm⁻³
E   -0.146 hartree per atom
Calculated formation energy   -51 kJ per mole of atoms
Total magnetization   0.00 μB per cell

---

# 3
Computed, not measured: an optimized crystal structure of Pr8Ga2Au at the GGA-PBE level of DFT.

POSCAR file:
```
Pr8Ga2Au
1.0
-2.546 4.416 7.346
2.546 -4.416 7.346
2.546 4.416 -7.346
Pr Ga Au
8 2 1
Direct
0.120 0.339 0.781
0.135 0.135 0.000
0.325 0.000 0.325
0.441 0.661 0.781
0.559 0.339 0.219
0.675 0.000 0.675
0.865 0.865 0.000
0.880 0.661 0.219
0.304 0.804 0.500
0.696 0.196 0.500
0.000 0.500 0.500
```

Values from the calculation:
Calculated density   7.36 g cm⁻³
E above lowest polymorph   0.0693 eV/atom
E   -0.168 hartree per atom
Calculated formation energy   -24 kJ per mole of atoms
Total magnetization   0.00 μB per cell

---

# 4
Computed, not measured: an optimized crystal structure of PrGa2Au7 at the GGA-PBE level of DFT.

POSCAR file:
```
PrGa2Au7
1.0
3.766 -6.434 0.000
3.766 6.434 0.000
0.000 0.000 4.845
Pr Ga Au
1 2 7
Direct
0.000 0.000 0.000
0.298 0.702 0.500
0.702 0.298 0.500
0.069 0.303 0.500
0.232 0.768 0.000
0.303 0.069 0.500
0.500 0.500 0.500
0.697 0.931 0.500
0.768 0.232 0.000
0.931 0.697 0.500
```

Values from the calculation:
Calculated density   11.73 g cm⁻³
E   -0.133 hartree per atom
Calculated formation energy   -22 kJ per mole of atoms
Total magnetization   0.00 μB per cell